# 1
The following is a GGA-PBEsol calculation of a geometry-optimized Sc3AsP structure, from the Alexandria database.

DOS at the Fermi energy in states/eV per cell: 4.8
DFT formation energy in eV per atom: -0.659
Space group: No. 221
Mass density in kg/m3: 3664

abc: 4.779 4.779 4.779
angles: 90.00 90.00 90.00
Sites, in units of the cell vectors:
1 Sc 0.000 0.500 0.000
2 Sc 0.000 0.000 0.500
3 Sc 0.500 0.000 0.000
4 P 0.000 0.000 0.000
5 As 0.500 0.500 0.500



# 2
The following is a GGA-PBEsol calculation of a geometry-optimized GeTe2BrN structure, from the Alexandria database.

DOS at the Fermi energy in states/eV per cell: 3.9
Space group: No. 123
Mass density in kg/m3: 6118
E_form (uncorrected) in eV per atom: 0.639

abc: 3.455 5.756 5.756
angles: 90.00 90.00 90.00
Sites, in units of the cell vectors:
1 Ge 0.000 0.000 0.000
2 Te 0.000 0.000 0.500
3 Te 0.000 0.500 0.000
4 Br 0.500 0.500 0.500
5 N 0.500 0.000 0.000



# 3
The following is a GGA-PBEsol calculation of a geometry-optimized Cs3AlPb structure, from the Alexandria database.

DOS at the Fermi energy in states/eV per cell: 10.1
DFT formation energy in eV per atom: 0.595
Space group: No. 221
Mass density in kg/m3: 2815

abc: 7.200 7.200 7.200
angles: 90.00 90.00 90.00
Last column: magnetic moment on the atom in μB.
Sites, in units of the cell vectors:
1 Pb 0.000 0.000 0.000  -0.15
2 Cs 0.000 0.500 0.000  0.00
3 Cs 0.000 0.000 0.500  0.00
4 Cs 0.500 0.000 0.000  0.00
5 Al 0.500 0.500 0.500  0.15



# 4
The following is a GGA-PBEsol calculation of a geometry-optimized NaMoPd3 structure, from the Alexandria database.

DOS at the Fermi energy in states/eV per cell: 3.6
DFT formation energy in eV per atom: 0.858
Space group: No. 221
Mass density in kg/m3: 6711

abc: 4.768 4.768 4.768
angles: 90.00 90.00 90.00
Sites, in units of the cell vectors:
1 Na 0.500 0.500 0.500
2 Mo 0.000 0.000 0.000
3 Pd 0.000 0.500 0.000
4 Pd 0.000 0.000 0.500
5 Pd 0.500 0.000 0.000



# 5
The following is a GGA-PBEsol calculation of a geometry-optimized SbIr structure, from the Alexandria database.

DOS at the Fermi energy in states/eV per cell: 2.2
Space group: No. 51
Mass density in kg/m3: 13249
E_form (uncorrected) in eV per atom: 0.228

abc: 3.074 4.371 5.858
angles: 90.00 90.00 90.00
Sites, in units of the cell vectors:
1 Ir 0.000 0.750 0.646
2 Ir 0.000 0.250 0.354
3 Sb 0.500 0.750 0.243
4 Sb 0.500 0.250 0.757



# 6
The following is a GGA-PBEsol calculation of a geometry-optimized RbNCl2 structure, from the Alexandria database.

Space group: No. 141
Mass density in kg/m3: 2923
E_form (uncorrected) in eV per atom: 0.017

abc: 6.459 6.510 6.459
angles: 119.74 90.00 119.74
Sites, in units of the cell vectors:
1 N 0.500 0.000 0.500
2 N 0.750 0.500 0.250
3 Rb 0.000 0.000 0.000
4 Rb 0.250 0.500 0.750
5 Cl 0.625 0.750 0.375
6 Cl 0.125 0.750 0.375
7 Cl 0.625 0.250 0.375
8 Cl 0.625 0.250 0.875



Q: The lowest mass density belongs to which entry?
A: Cs3AlPb



Q: Which formula does entry 2 have?
A: GeTe2BrN